*1*
The following is a PBE-GGA calculation of an optimized crystal structure of BeSiTc2, from Alexandria.

Calculated values
DOS(E_F)   1.01 states/eV per cell
Total moment   0.0 μB per cell

a b c (Å): 2.9635 2.9635 5.6017
angles (deg): 90.00 90.00 90.00
Closest atoms and distances in Å follow each position.
Space group P4mm (No. 99)
Asymmetric unit:
Be 0.0000 0.0000 0.0000 (multiplicity 1)  4 Si 2.43, 5 Tc 2.45-2.67
Si 0.5000 0.5000 0.2200 (multiplicity 1)  4 Be 2.43, 5 Tc 2.50-2.54
Tc 0.0000 0.0000 0.4762 (multiplicity 1)  4 Si 2.54, 1 Be 2.67, 4 Tc 2.68
Tc 0.5000 0.5000 0.7739 (multiplicity 1)  4 Be 2.45, 1 Si 2.50, 4 Tc 2.68


*2*
The following is a PBE-GGA calculation of an optimized crystal structure of BeSiTc2, from Alexandria.

Calculated values
DOS(E_F)   7.45 states/eV per cell
Total moment   0.0 μB per cell

a b c (Å): 3.0082 4.5556 7.5340
angles (deg): 90.00 90.00 90.00
Closest atoms and distances in Å follow each position.
Space group Cmmm (No. 65)
Asymmetric unit:
Be 0.0000 0.0000 0.0000 (multiplicity 2)  4 Tc 2.37
Si 0.0000 0.0000 0.5000 (multiplicity 2)  4 Tc 2.45, 4 Si 2.73
Tc 0.0000 0.5000 0.2435 (multiplicity 4)  2 Be 2.37, 2 Si 2.45


*3*
The following is a PBE-GGA calculation of an optimized crystal structure of BeSiTc2, from Alexandria.

Calculated values
DOS(E_F)   4.22 states/eV per cell
Total moment   0.0 μB per cell

a b c (Å): 8.6366 2.8826 4.1886
angles (deg): 90.00 106.93 90.00
Closest atoms and distances in Å follow each position.
Space group Cm (No. 8)
Asymmetric unit:
Be 0.0000 0.0000 0.0000 (multiplicity 2)  7 Tc 2.49-2.55, 2 Si 2.50
Si 0.2664 0.0000 0.7036 (multiplicity 2)  7 Tc 2.48-2.62, 2 Be 2.50
Tc 0.0128 0.5000 0.5101 (multiplicity 2)  3 Si 2.49-2.55, 4 Be 2.54-2.55, 3 Tc 2.74-2.78
Tc 0.2458 0.5000 0.1710 (multiplicity 2)  4 Si 2.48-2.62, 3 Be 2.49-2.50, 2 Tc 2.74


*4*
The following is a PBE-GGA calculation of an optimized crystal structure of BeSiTc2, from Alexandria.

Calculated values
DOS(E_F)   4.42 states/eV per cell
Total moment   0.0 μB per cell

a b c (Å): 4.0999 4.0999 2.9301
angles (deg): 90.00 90.00 90.00
Closest atoms and distances in Å follow each position.
Space group P4/mmm (No. 123)
Asymmetric unit:
Be 0.0000 0.0000 0.0000 (multiplicity 1)  8 Tc 2.52
Si 0.5000 0.5000 0.0000 (multiplicity 1)  8 Tc 2.52
Tc 0.0000 0.5000 0.5000 (multiplicity 2)  4 Be 2.52, 4 Si 2.52


*1* comes first in stability; the runner-up is 138 meV per atom higher.


*1*
The following is a PBE-GGA calculation of an optimized crystal structure of BeSiTc2, from Alexandria.

Calculated values
DOS(E_F)   3.99 states/eV per cell
Total moment   0.0 μB per cell

a b c (Å): 2.9539 3.8826 4.5005
angles (deg): 90.00 90.00 90.00
Closest atoms and distances in Å follow each position.
Space group Pmmm (No. 47)
Asymmetric unit:
Be 0.0000 0.0000 0.0000 (multiplicity 1)  4 Tc 2.44, 4 Si 2.69
Si 0.5000 0.0000 0.5000 (multiplicity 1)  4 Tc 2.44, 4 Be 2.69
Tc 0.0000 0.5000 0.5000 (multiplicity 1)  4 Si 2.44, 4 Tc 2.69
Tc 0.5000 0.5000 0.0000 (multiplicity 1)  4 Be 2.44, 4 Tc 2.69


*2*
The following is a PBE-GGA calculation of an optimized crystal structure of BeSiTc2, from Alexandria.

Calculated values
DOS(E_F)   3.65 states/eV per cell
Total moment   0.0 μB per cell

a b c (Å): 7.8134 2.7983 4.8275
angles (deg): 90.00 101.34 90.00
Closest atoms and distances in Å follow each position.
Space group C2/m (No. 12)
Asymmetric unit:
Be 0.0000 0.0000 0.0000 (multiplicity 2)  6 Tc 2.45-2.50
Si 0.0000 0.5000 0.5000 (multiplicity 2)  6 Tc 2.53, 4 Be 2.79, 2 Si 2.80
Tc 0.2495 0.0000 0.7616 (multiplicity 4)  3 Be 2.45-2.50, 3 Si 2.53, 2 Tc 2.69


*2* comes first in stability; the runner-up is 66 meV per atom higher.


*1*
The following is a PBE-GGA calculation of an optimized crystal structure of BeSiTc2, from Alexandria.

Calculated values
DOS(E_F)   14.67 states/eV per cell
Total moment   0.0 μB per cell

a b c (Å): 5.8142 5.8142 5.8142
angles (deg): 90.00 90.00 90.00
Closest atoms and distances in Å follow each position.
Space group Fm-3m (No. 225)
Asymmetric unit:
Be 0.0000 0.0000 0.0000 (multiplicity 4)  8 Tc 2.52
Si 0.0000 0.0000 0.5000 (multiplicity 4)  8 Tc 2.52
Tc 0.2500 0.2500 0.2500 (multiplicity 8)  4 Be 2.52, 4 Si 2.52


*2*
The following is a PBE-GGA calculation of an optimized crystal structure of BeSiTc2, from Alexandria.

Calculated values
DOS(E_F)   6.00 states/eV per cell
Total moment   0.0 μB per cell

a b c (Å): 2.8282 2.8282 22.2391
angles (deg): 90.00 90.00 120.00
Closest atoms and distances in Å follow each position.
Space group R-3m (No. 166, hexagonal axes)
Asymmetric unit:
Be 0.0000 0.0000 0.0000 (multiplicity 3)  6 Tc 2.41
Si 0.0000 0.0000 0.5000 (multiplicity 3)  6 Tc 2.53, 6 Si 2.83
Tc 0.0000 0.0000 0.2535 (multiplicity 6)  3 Be 2.41, 3 Si 2.53


*1* comes first in stability; the runner-up is 191 meV per atom higher.


*1*
The following is a PBE-GGA calculation of an optimized crystal structure of Be3SiTc, from Alexandria.

Calculated values
DOS(E_F)   5.57 states/eV per cell
Total moment   0.0 μB per cell

a b c (Å): 10.9737 3.1796 7.2151
angles (deg): 90.00 123.85 90.00
Closest atoms and distances in Å follow each position.
Space group C2/m (No. 12)
Asymmetric unit:
Be 0.0715 0.0000 0.4428 (multiplicity 4)  8 Be 2.14-2.37, 2 Si 2.38
Be 0.0971 0.5000 0.7056 (multiplicity 4)  5 Be 2.15-2.37, 1 Si 2.38
Be 0.2384 0.5000 0.5872 (multiplicity 4)  6 Be 2.13-2.21, 3 Si 2.28-2.31
Si 0.0833 0.5000 0.2085 (multiplicity 4)  6 Be 2.28-2.38, 1 Si 2.50, 2 Tc 2.51
Tc 0.1377 0.0000 0.9950 (multiplicity 4)  5 Be 2.46-2.68, 4 Si 2.51-2.57


*2*
The following is a PBE-GGA calculation of an optimized crystal structure of Be3SiTc, from Alexandria.

Calculated values
DOS(E_F)   2.86 states/eV per cell
Total moment   1.5 μB per cell

a b c (Å): 4.0184 4.0184 4.0184
angles (deg): 90.00 90.00 90.00
Closest atoms and distances in Å follow each position.
Space group Pm-3m (No. 221)
Asymmetric unit:
Be 0.0000 0.0000 0.5000 (multiplicity 3)  2 Si 2.01
Si 0.0000 0.0000 0.0000 (multiplicity 1)  6 Be 2.01
Tc 0.5000 0.5000 0.5000 (multiplicity 1)  12 Be 2.84


*3*
The following is a PBE-GGA calculation of an optimized crystal structure of Be3SiTc, from Alexandria.

Calculated values
DOS(E_F)   1.70 states/eV per cell
Total moment   0.0 μB per cell

a b c (Å): 4.1895 4.1895 4.1895
angles (deg): 90.00 90.00 90.00
Closest atoms and distances in Å follow each position.
Space group Pm-3m (No. 221)
Asymmetric unit:
Be 0.0000 0.0000 0.5000 (multiplicity 3)  2 Tc 2.09
Si 0.5000 0.5000 0.5000 (multiplicity 1)  12 Be 2.96
Tc 0.0000 0.0000 0.0000 (multiplicity 1)  6 Be 2.09


*1* comes first in stability; the runner-up is 1113 meV per atom higher.


*1*
The following is a PBE-GGA calculation of an optimized crystal structure of BeSi3Tc, from Alexandria.

Calculated values
DOS(E_F)   3.90 states/eV per cell
Total moment   0.0 μB per cell

a b c (Å): 4.1431 4.1431 4.1431
angles (deg): 90.00 90.00 90.00
Closest atoms and distances in Å follow each position.
Space group Pm-3m (No. 221)
Asymmetric unit:
Be 0.0000 0.0000 0.0000 (multiplicity 1)  6 Si 2.07
Si 0.0000 0.0000 0.5000 (multiplicity 3)  2 Be 2.07
Tc 0.5000 0.5000 0.5000 (multiplicity 1)  12 Si 2.93


*2*
The following is a PBE-GGA calculation of an optimized crystal structure of BeSi3Tc, from Alexandria.

Calculated values
DOS(E_F)   3.87 states/eV per cell
Total moment   0.0 μB per cell

a b c (Å): 4.6554 4.6554 4.6554
angles (deg): 90.00 90.00 90.00
Closest atoms and distances in Å follow each position.
Space group Pm-3m (No. 221)
Asymmetric unit:
Be 0.0000 0.0000 0.0000 (multiplicity 1)  12 Si 3.29
Si 0.0000 0.5000 0.5000 (multiplicity 3)  2 Tc 2.33
Tc 0.5000 0.5000 0.5000 (multiplicity 1)  6 Si 2.33


*2* comes first in stability; the runner-up is 163 meV per atom higher.


*1*
The following is a PBE-GGA calculation of an optimized crystal structure of BeSi2Te, from Alexandria.

Calculated values
DOS(E_F)   0.92 states/eV per cell
Total moment   0.0 μB per cell

a b c (Å): 6.8002 3.8515 6.5332
angles (deg): 90.00 94.11 90.00
Closest atoms and distances in Å follow each position.
Space group Cm (No. 8)
Asymmetric unit:
Be 0.0000 0.0000 0.0000 (multiplicity 2)  1 Si 2.29, 3 Te 2.39-2.41
Si 0.2714 0.0000 0.5420 (multiplicity 2)  3 Si 2.34-2.36
Si 0.4500 0.5000 0.6498 (multiplicity 2)  1 Be 2.29, 3 Si 2.34-2.36
Te 0.1809 0.5000 0.1320 (multiplicity 2)  3 Be 2.39-2.41


*2*
The following is a PBE-GGA calculation of an optimized crystal structure of BeSi2Te, from Alexandria.

Calculated values
DOS(E_F)   1.57 states/eV per cell
Total moment   0.0 μB per cell

a b c (Å): 3.5675 3.5675 5.7303
angles (deg): 90.00 90.00 90.00
Closest atoms and distances in Å follow each position.
Space group P4/mmm (No. 123)
Asymmetric unit:
Be 0.0000 0.0000 0.0000 (multiplicity 1)  4 Te 2.52
Si 0.0000 0.5000 0.5000 (multiplicity 2)  4 Si 2.52
Te 0.5000 0.5000 0.0000 (multiplicity 1)  4 Be 2.52


*3*
The following is a PBE-GGA calculation of an optimized crystal structure of BeSi2Te, from Alexandria.

Calculated values
DOS(E_F)   1.23 states/eV per cell
Total moment   0.0 μB per cell

a b c (Å): 3.8056 3.7074 5.7649
angles (deg): 90.00 91.02 90.00
Closest atoms and distances in Å follow each position.
Space group Pm (No. 6)
Asymmetric unit:
Be 0.0000 0.0000 0.0000 (multiplicity 1)  4 Si 2.37-2.55
Si 0.4617 0.5000 0.9980 (multiplicity 1)  2 Si 2.36, 2 Be 2.55, 1 Te 2.60
Si 0.5010 0.0000 0.7470 (multiplicity 1)  2 Si 2.36, 2 Be 2.37-2.42
Te 0.9389 0.5000 0.3275 (multiplicity 1)  2 Si 2.60-2.78, 2 Be 2.66


*1* comes first in stability; the runner-up is 218 meV per atom higher.